1.
# SrTlGa

An optimized crystal structure of SrTlGa (PBE, Alexandria via LeMat-Bulk).

The formation energy from the elements comes out at -0.363 eV per atom. Its volume is 90.5 Å³/f.u. As for the calculated density: 6.6 g cm⁻³.

The structure belongs to space group P2_1/m (No. 11); the cell edges are 4.743, 4.377 and 8.824 Å and the angles 90.00°, 99.05° and 90.00°. Symmetry generates all atoms from Sr at (0.059, 0.250, 0.204), Tl at (0.335, 0.250, 0.589) and Ga at (0.493, 0.250, 0.925).

2.
# SrTlGa3

An optimized crystal structure of SrTlGa3 (PBE, Alexandria via LeMat-Bulk).

The formation energy from the elements comes out at 0.709 eV per atom. Its volume is 204.8 Å³/f.u. The polymorph energy (0 for the lowest one) comes out at 471 meV/atom. As for the calculated density: 4.1 g cm⁻³.

The structure belongs to space group Pm-3m (No. 221); the cell edges are 5.895, 5.895 and 5.895 Å and the angles 90.00°, 90.00° and 90.00°. Symmetry generates all atoms from Sr at (0.000, 0.000, 0.000), Tl at (0.500, 0.500, 0.500) and Ga at (0.000, 0.000, 0.500).

3.
# Sr5Tl2Ga2

An optimized crystal structure of Sr5Tl2Ga2 (PBE, Alexandria via LeMat-Bulk).

The formation energy from the elements comes out at -0.334 eV per atom. Its volume is 319.6 Å³/f.u. As for the calculated density: 5.1 g cm⁻³.

The structure belongs to space group Cmce (No. 64); the cell edges are 18.198, 8.027 and 8.751 Å and the angles 90.00°, 90.00° and 90.00°. Symmetry generates all atoms from Sr at (0.000, 0.000, 0.000), Sr at (0.135, 0.188, 0.311), Tl at (0.221, 0.000, 0.000) and Ga at (0.000, 0.086, 0.617).

4.
# Sr6TlGa

An optimized crystal structure of Sr6TlGa (PBE, Alexandria via LeMat-Bulk).

The formation energy from the elements comes out at -0.198 eV per atom. Its volume is 346.2 Å³/f.u. As for the calculated density: 3.8 g cm⁻³.

The structure belongs to space group I4/mmm (No. 139); the cell edges are 5.801, 5.801 and 20.574 Å and the angles 90.00°, 90.00° and 90.00°. Symmetry generates all atoms from Sr at (0.000, 0.000, 0.250), Sr at (0.000, 0.500, 0.093), Tl at (0.000, 0.000, 0.000) and Ga at (0.000, 0.000, 0.500).

5.
# Sr2Tl6Ga

An optimized crystal structure of Sr2Tl6Ga (PBE, Alexandria via LeMat-Bulk).

The formation energy from the elements comes out at -0.214 eV per atom. Its volume is 275.9 Å³/f.u. As for the calculated density: 8.9 g cm⁻³.

The structure belongs to space group P-3m1 (No. 164); the cell edges are 7.0820, 7.0820 and 6.3512 Å and the angles 90.00°, 90.00° and 120.00°. Symmetry generates all atoms from Sr at (0.3333, 0.6667, 0.1730), Tl at (0.1754, 0.3508, 0.6883) and Ga at (0.0000, 0.0000, 0.0000).

6.
# Sr6Tl2Ga

An optimized crystal structure of Sr6Tl2Ga (PBE, Alexandria via LeMat-Bulk).

The formation energy from the elements comes out at -0.291 eV per atom. Its volume is 360.2 Å³/f.u. The polymorph energy (0 for the lowest one) comes out at 0 meV/atom. As for the calculated density: 4.6 g cm⁻³.

The structure belongs to space group Fmmm (No. 69); the cell edges are 5.775, 14.369 and 17.365 Å and the angles 90.00°, 90.00° and 90.00°. Symmetry generates all atoms from Sr at (0.000, 0.131, 0.000), Sr at (0.000, 0.136, 0.337), Tl at (0.000, 0.000, 0.169) and Ga at (0.000, 0.000, 0.500).

7.
# SrTmTlGa

An optimized crystal structure of SrTmTlGa (PBE, Alexandria via LeMat-Bulk).

The formation energy from the elements comes out at -0.318 eV per atom. Its volume is 111.3 Å³/f.u. As for the calculated density: 7.9 g cm⁻³.

The structure belongs to space group F-43m (No. 216); the cell edges are 7.635, 7.635 and 7.635 Å and the angles 90.00°, 90.00° and 90.00°. Symmetry generates all atoms from Sr at (0.000, 0.000, 0.000), Tm at (0.000, 0.000, 0.500), Tl at (0.250, 0.250, 0.750) and Ga at (0.250, 0.250, 0.250).

8.
# SrY2TlGa

An optimized crystal structure of SrY2TlGa (PBE, Alexandria via LeMat-Bulk).

The formation energy from the elements comes out at -0.006 eV per atom. Its volume is 181.4 Å³/f.u. As for the calculated density: 4.9 g cm⁻³.

The structure belongs to space group P4/mmm (No. 123); the cell edges are 5.514, 5.514 and 5.966 Å and the angles 90.00°, 90.00° and 90.00°. Symmetry generates all atoms from Sr at (0.000, 0.000, 0.000), Y at (0.000, 0.500, 0.500), Tl at (0.500, 0.500, 0.000) and Ga at (0.000, 0.000, 0.500).

9.
# SrYTlGa

An optimized crystal structure of SrYTlGa (PBE, Alexandria via LeMat-Bulk).

The formation energy from the elements comes out at -0.351 eV per atom. Its volume is 113.5 Å³/f.u. As for the calculated density: 6.6 g cm⁻³.

The structure belongs to space group F-43m (No. 216); the cell edges are 7.687, 7.687 and 7.687 Å and the angles 90.00°, 90.00° and 90.00°. Symmetry generates all atoms from Sr at (0.000, 0.000, 0.000), Y at (0.000, 0.000, 0.500), Tl at (0.250, 0.250, 0.750) and Ga at (0.250, 0.250, 0.250).

10.
# Sr2TlZn4Ga3

An optimized crystal structure of Sr2TlZn4Ga3 (PBE, Alexandria via LeMat-Bulk).

The formation energy from the elements comes out at -0.293 eV per atom. Its volume is 222.2 Å³/f.u. As for the calculated density: 6.4 g cm⁻³.

The structure belongs to space group P-4m2 (No. 115); the cell edges are 4.492, 4.492 and 11.013 Å and the angles 90.00°, 90.00° and 90.00°. Symmetry generates all atoms from Sr at (0.000, 0.500, 0.239), Tl at (0.000, 0.000, 0.500), Zn at (0.000, 0.000, 0.000), Zn at (0.000, 0.500, 0.647), Zn at (0.500, 0.500, 0.000), Ga at (0.000, 0.500, 0.876) and Ga at (0.500, 0.500, 0.500).

11.
# SrTm2Ga6

An optimized crystal structure of SrTm2Ga6 (PBE, Alexandria via LeMat-Bulk).

The formation energy from the elements comes out at -0.520 eV per atom. Its volume is 198.9 Å³/f.u. The polymorph energy (0 for the lowest one) comes out at 0 meV/atom. As for the calculated density: 7.0 g cm⁻³.

The structure belongs to space group P6/mmm (No. 191); the cell edges are 7.3572, 7.3572 and 4.2421 Å and the angles 90.00°, 90.00° and 120.00°. Symmetry generates all atoms from Sr at (0.0000, 0.0000, 0.0000), Tm at (0.3333, 0.6667, 0.0000) and Ga at (0.0000, 0.3373, 0.5000).

12.
# SrTm2Ga4

An optimized crystal structure of SrTm2Ga4 (PBE, Alexandria via LeMat-Bulk).

The formation energy from the elements comes out at -0.524 eV per atom. Its volume is 168.4 Å³/f.u. As for the calculated density: 6.9 g cm⁻³.

The structure belongs to space group Immm (No. 71); the cell edges are 4.180, 4.367 and 18.449 Å and the angles 90.00°, 90.00° and 90.00°. Symmetry generates all atoms from Sr at (0.000, 0.000, 0.000), Tm at (0.000, 0.500, 0.313), Ga at (0.000, 0.000, 0.429) and Ga at (0.000, 0.500, 0.152).

13.
# SrTm2Ga

An optimized crystal structure of SrTm2Ga (PBE, Alexandria via LeMat-Bulk).

The formation energy from the elements comes out at -0.178 eV per atom. Its volume is 122.6 Å³/f.u. The polymorph energy (0 for the lowest one) comes out at 0 meV/atom. As for the calculated density: 6.7 g cm⁻³.

The structure belongs to space group P4/mmm (No. 123); the cell edges are 3.590, 3.590 and 9.510 Å and the angles 90.00°, 90.00° and 90.00°. Symmetry generates all atoms from Sr at (0.000, 0.000, 0.000), Tm at (0.500, 0.500, 0.320) and Ga at (0.000, 0.000, 0.500).

14.
# SrTm2Ga6

An optimized crystal structure of SrTm2Ga6 (PBE, Alexandria via LeMat-Bulk).

The formation energy from the elements comes out at -0.482 eV per atom. Its volume is 207.4 Å³/f.u. The polymorph energy (0 for the lowest one) comes out at 38 meV/atom. As for the calculated density: 6.8 g cm⁻³.

The structure belongs to space group Immm (No. 71); the cell edges are 4.417, 7.302 and 12.864 Å and the angles 90.00°, 90.00° and 90.00°. Symmetry generates all atoms from Sr at (0.000, 0.000, 0.000), Tm at (0.000, 0.500, 0.125), Ga at (0.000, 0.175, 0.500) and Ga at (0.000, 0.302, 0.312).

15.
# SrTm2Ga

An optimized crystal structure of SrTm2Ga (PBE, Alexandria via LeMat-Bulk).

The formation energy from the elements comes out at 0.026 eV per atom. Its volume is 128.5 Å³/f.u. The polymorph energy (0 for the lowest one) comes out at 204 meV/atom. As for the calculated density: 6.4 g cm⁻³.

The structure belongs to space group R-3m (No. 166, hexagonal axes); the cell edges are 3.6344, 3.6344 and 33.6933 Å and the angles 90.00°, 90.00° and 120.00°. Symmetry generates all atoms from Sr at (0.0000, 0.0000, 0.0000), Tm at (0.0000, 0.0000, 0.1056) and Ga at (0.0000, 0.0000, 0.5000).

16.
# SrTmGa4

An optimized crystal structure of SrTmGa4 (PBE, Alexandria via LeMat-Bulk).

The formation energy from the elements comes out at -0.468 eV per atom. Its volume is 145.9 Å³/f.u. The polymorph energy (0 for the lowest one) comes out at 0 meV/atom. As for the calculated density: 6.1 g cm⁻³.

The structure belongs to space group Pbam (No. 55); the cell edges are 8.295, 15.889 and 4.429 Å and the angles 90.00°, 90.00° and 90.00°. Symmetry generates all atoms from Sr at (0.133, 0.149, 0.000), Tm at (0.132, 0.415, 0.000), Ga at (0.010, 0.699, 0.500), Ga at (0.116, 0.551, 0.500), Ga at (0.130, 0.968, 0.500) and Ga at (0.202, 0.814, 0.500).

17.
# SrTmGa4

An optimized crystal structure of SrTmGa4 (PBE, Alexandria via LeMat-Bulk).

The formation energy from the elements comes out at -0.401 eV per atom. Its volume is 126.0 Å³/f.u. The polymorph energy (0 for the lowest one) comes out at 68 meV/atom. As for the calculated density: 7.1 g cm⁻³.

The structure belongs to space group F-43m (No. 216); the cell edges are 7.957, 7.957 and 7.957 Å and the angles 90.00°, 90.00° and 90.00°. Symmetry generates all atoms from Sr at (0.000, 0.000, 0.000), Tm at (0.250, 0.250, 0.750) and Ga at (0.125, 0.125, 0.375).

18.
# SrTmZnGa

An optimized crystal structure of SrTmZnGa (PBE, Alexandria via LeMat-Bulk).

The formation energy from the elements comes out at -0.295 eV per atom. Its volume is 101.6 Å³/f.u. As for the calculated density: 6.4 g cm⁻³.

The structure belongs to space group F-43m (No. 216); the cell edges are 7.406, 7.406 and 7.406 Å and the angles 90.00°, 90.00° and 90.00°. Symmetry generates all atoms from Sr at (0.000, 0.000, 0.000), Tm at (0.000, 0.000, 0.500), Zn at (0.250, 0.250, 0.250) and Ga at (0.250, 0.250, 0.750).

19.
# SrTmZn2Ga2

An optimized crystal structure of SrTmZn2Ga2 (PBE, Alexandria via LeMat-Bulk).

The formation energy from the elements comes out at -0.487 eV per atom. Its volume is 134.2 Å³/f.u. As for the calculated density: 6.5 g cm⁻³.

The structure belongs to space group P-3m1 (No. 164); the cell edges are 4.4954, 4.4954 and 7.6700 Å and the angles 90.00°, 90.00° and 120.00°. Symmetry generates all atoms from Sr at (0.0000, 0.0000, 0.0000), Tm at (0.0000, 0.0000, 0.5000), Zn at (0.3333, 0.6667, 0.6988) and Ga at (0.3333, 0.6667, 0.2961).

20.
# SrVGa3

An optimized crystal structure of SrVGa3 (PBE, Alexandria via LeMat-Bulk).

The formation energy from the elements comes out at 1.415 eV per atom. Its volume is 177.9 Å³/f.u. The polymorph energy (0 for the lowest one) comes out at 1614 meV/atom. As for the calculated density: 3.2 g cm⁻³.

The structure belongs to space group Pm-3m (No. 221); the cell edges are 5.624, 5.624 and 5.624 Å and the angles 90.00°, 90.00° and 90.00°. Symmetry generates all atoms from Sr at (0.000, 0.000, 0.000), V at (0.500, 0.500, 0.500) and Ga at (0.000, 0.000, 0.500).

no.,M_tot (μB per atom)
1,0.000
2,0.000
3,0.000
4,0.000
5,0.000
6,0.000
7,0.000
8,0.000
9,0.000
10,0.000
11,0.000
12,0.000
13,0.000
14,0.000
15,0.000
16,0.000
17,0.000
18,0.000
19,0.000
20,0.762